Entry 1:
Zr2CoSi4Ir3 | PBE | relaxed

Cell: 3.9280 3.9280 10.0712 Å, 90.00 90.00 90.00°
Positions (direct):
Zr (0.0000, 0.5000, 0.2338)
Zr (0.5000, 0.0000, 0.7662)
Co (0.5000, 0.5000, 0.0000)
Si (0.0000, 0.0000, 0.5000)
Si (0.0000, 0.5000, 0.8687)
Si (0.5000, 0.0000, 0.1313)
Si (0.5000, 0.5000, 0.5000)
Ir (0.0000, 0.0000, 0.0000)
Ir (0.0000, 0.5000, 0.6358)
Ir (0.5000, 0.0000, 0.3642)

Results
energy relative to the elements, uncorrected: -0.861 eV per atom
N(E_F): 4.86 states/eV/cell
space-group type: P-4m2 (115)
total magnetic moment: 0.00 μB per formula unit
energy: -81.09 eV for the cell shown



Entry 2:
Zr2CoSi3Ir4 | PBE | relaxed

Cell: 4.0119 4.0119 9.8780 Å, 90.00 90.00 90.00°
Positions (direct):
Zr (0.0000, 0.5000, 0.2488)
Zr (0.5000, 0.0000, 0.7512)
Co (0.0000, 0.0000, 0.5000)
Si (0.0000, 0.5000, 0.8650)
Si (0.5000, 0.0000, 0.1350)
Si (0.5000, 0.5000, 0.5000)
Ir (0.0000, 0.0000, 0.0000)
Ir (0.0000, 0.5000, 0.6322)
Ir (0.5000, 0.0000, 0.3678)
Ir (0.5000, 0.5000, 0.0000)

Results
energy relative to the elements, uncorrected: -0.783 eV per atom
N(E_F): 7.12 states/eV/cell
space-group type: P-4m2 (115)
total magnetic moment: 1.58 μB per formula unit
energy: -83.74 eV for the cell shown